Record 1
LiIrPd2 after structural relaxation, computed with PBE.

a b c (Å): 2.7507 2.7507 26.7229
angles (deg): 90.00 90.00 120.00
Last column: nearest neighbours and their distance in Å.
Space group R-3m (No. 166, hexagonal axes)
Unique sites:
Li 0.0000 0.0000 0.0000 x3  6 Pd 2.70, 6 Li 2.75
Ir 0.0000 0.0000 0.5000 x3  6 Ir 2.75, 6 Pd 2.77
Pd 0.0000 0.0000 0.2518 x6  3 Li 2.70, 6 Pd 2.75, 3 Ir 2.77

Computed properties:
- ΔE to the lowest computed polymorph: 0.54 eV per formula unit
- N(E_F): 14.895 states/eV per cell
- E: -5.36 eV/atom
- Formation enthalpy at 0 K: -0.07 eV/atom



Record 2
LiIrPd2 after structural relaxation, computed with PBE.

a b c (Å): 3.7638 3.7638 17.6553
angles (deg): 90.00 90.00 90.00
Last column: nearest neighbours and their distance in Å.
Space group I-42d (No. 122)
Unique sites:
Li 0.0000 0.0000 0.0000 x4  4 Pd 2.58, 4 Ir 2.66
Ir 0.0000 0.0000 0.5000 x4  4 Pd 2.58, 4 Li 2.66
Pd 0.2490 0.2500 0.1250 x8  2 Li 2.58, 2 Ir 2.58, 4 Pd 2.66-2.67

Computed properties:
- ΔE to the lowest computed polymorph: 2.18 eV per formula unit
- N(E_F): 13.201 states/eV per cell
- E: -4.95 eV/atom
- Formation enthalpy at 0 K: 0.34 eV/atom